Computed, not measured: crystalline MgInP2 at its relaxed geometry at the PBE level of DFT.

```
data_MgInP2
_symmetry_space_group_name_H-M 'P 1'
_symmetry_Int_Tables_number 1
_cell_length_a 3.2688
_cell_length_b 3.2688
_cell_length_c 7.3798
_cell_angle_alpha 90.00
_cell_angle_beta 90.00
_cell_angle_gamma 90.00
loop_
_symmetry_equiv_pos_as_xyz
'x,y,z'
loop_
_atom_site_label
_atom_site_type_symbol
_atom_site_fract_x
_atom_site_fract_y
_atom_site_fract_z
_atom_site_occupancy
Mg1 Mg 0.0000 0.0000 0.0000 1
In1 In 0.5000 0.5000 0.7044 1
P1 P 0.0000 0.0000 0.3639 1
P2 P 0.5000 0.5000 0.2550 1
```

Volume, Å³/f.u.: 78.9
Space-group type: P4mm, No. 99
Crystal system: tetragonal
ΔH_f (0 K), eV/atom: 0.089